# PBE PaSeCl, relaxed
data_PaSeCl
_chemical_formula_sum 'Pa2 Se2 Cl2'
_symmetry_space_group_name_H-M 'P 1'
_symmetry_Int_Tables_number 1
_cell_length_a 6.766
_cell_length_b 3.909
_cell_length_c 7.967
_cell_angle_alpha 90.00
_cell_angle_beta 113.08
_cell_angle_gamma 90.00
loop_
_symmetry_equiv_pos_as_xyz
'x,y,z'
loop_
_atom_site_label
_atom_site_type_symbol
_atom_site_fract_x
_atom_site_fract_y
_atom_site_fract_z
Pa1 Pa 0.000 0.000 0.000
Pa2 Pa 0.500 0.500 0.000
Se1 Se 0.225 0.000 0.765
Se2 Se 0.725 0.500 0.765
Cl1 Cl 0.448 0.000 0.247
Cl2 Cl 0.948 0.500 0.247
# Energy above the most stable polymorph in this dataset: 43 meV per atom
# E_tot: -6.28 eV per atom

# PBE PaSeCl, relaxed
data_PaSeCl
_chemical_formula_sum 'Pa2 Se2 Cl2'
_symmetry_space_group_name_H-M 'P 1'
_symmetry_Int_Tables_number 1
_cell_length_a 3.521
_cell_length_b 3.521
_cell_length_c 13.569
_cell_angle_alpha 90.00
_cell_angle_beta 90.00
_cell_angle_gamma 90.00
loop_
_symmetry_equiv_pos_as_xyz
'x,y,z'
loop_
_atom_site_label
_atom_site_type_symbol
_atom_site_fract_x
_atom_site_fract_y
_atom_site_fract_z
Pa1 Pa 0.000 0.000 0.000
Pa2 Pa 0.500 0.500 0.500
Se1 Se 0.000 0.000 0.386
Se2 Se 0.500 0.500 0.886
Cl1 Cl 0.000 0.000 0.626
Cl2 Cl 0.500 0.500 0.126
# Energy above the most stable polymorph in this dataset: 14 meV per atom
# E_tot: -6.31 eV per atom

# PBE PaSe2Cl4, relaxed
data_PaSe2Cl4
_chemical_formula_sum 'Pa2 Se4 Cl8'
_symmetry_space_group_name_H-M 'P 1'
_symmetry_Int_Tables_number 1
_cell_length_a 20.973
_cell_length_b 4.093
_cell_length_c 6.669
_cell_angle_alpha 90.00
_cell_angle_beta 102.79
_cell_angle_gamma 90.00
loop_
_symmetry_equiv_pos_as_xyz
'x,y,z'
loop_
_atom_site_label
_atom_site_type_symbol
_atom_site_fract_x
_atom_site_fract_y
_atom_site_fract_z
Pa1 Pa 0.000 0.000 0.000
Pa2 Pa 0.500 0.500 0.000
Se1 Se 0.245 0.000 0.404
Se2 Se 0.255 0.500 0.596
Se3 Se 0.745 0.500 0.404
Se4 Se 0.755 0.000 0.596
Cl1 Cl 0.061 0.500 0.240
Cl2 Cl 0.090 0.000 0.801
Cl3 Cl 0.410 0.500 0.199
Cl4 Cl 0.439 0.000 0.760
Cl5 Cl 0.561 0.000 0.240
Cl6 Cl 0.590 0.500 0.801
Cl7 Cl 0.910 0.000 0.199
Cl8 Cl 0.939 0.500 0.760
# E_tot: -4.64 eV per atom

# PBE PaSeCl, relaxed
data_PaSeCl
_chemical_formula_sum 'Pa4 Se4 Cl4'
_symmetry_space_group_name_H-M 'P 1'
_symmetry_Int_Tables_number 1
_cell_length_a 4.963
_cell_length_b 13.800
_cell_length_c 4.967
_cell_angle_alpha 90.00
_cell_angle_beta 90.00
_cell_angle_gamma 90.00
loop_
_symmetry_equiv_pos_as_xyz
'x,y,z'
loop_
_atom_site_label
_atom_site_type_symbol
_atom_site_fract_x
_atom_site_fract_y
_atom_site_fract_z
Pa1 Pa 0.000 0.250 0.250
Pa2 Pa 0.000 0.750 0.750
Pa3 Pa 0.500 0.250 0.750
Pa4 Pa 0.500 0.750 0.250
Se1 Se 0.000 0.133 0.750
Se2 Se 0.000 0.867 0.250
Se3 Se 0.500 0.367 0.250
Se4 Se 0.500 0.633 0.750
Cl1 Cl 0.000 0.368 0.750
Cl2 Cl 0.000 0.632 0.250
Cl3 Cl 0.500 0.132 0.250
Cl4 Cl 0.500 0.868 0.750
# Energy above the most stable polymorph in this dataset: 0 meV per atom
# E_tot: -6.32 eV per atom

# PBE PaSeCl3, relaxed
data_PaSeCl3
_chemical_formula_sum 'Pa2 Se2 Cl6'
_symmetry_space_group_name_H-M 'P 1'
_symmetry_Int_Tables_number 1
_cell_length_a 5.406
_cell_length_b 8.478
_cell_length_c 8.080
_cell_angle_alpha 90.00
_cell_angle_beta 109.47
_cell_angle_gamma 90.00
loop_
_symmetry_equiv_pos_as_xyz
'x,y,z'
loop_
_atom_site_label
_atom_site_type_symbol
_atom_site_fract_x
_atom_site_fract_y
_atom_site_fract_z
Pa1 Pa 0.054 0.250 0.109
Pa2 Pa 0.946 0.750 0.891
Se1 Se 0.454 0.750 0.908
Se2 Se 0.546 0.250 0.092
Cl1 Cl 0.097 0.564 0.194
Cl2 Cl 0.097 0.936 0.194
Cl3 Cl 0.218 0.250 0.438
Cl4 Cl 0.782 0.750 0.562
Cl5 Cl 0.903 0.064 0.806
Cl6 Cl 0.903 0.436 0.806
# Energy above the most stable polymorph in this dataset: 0 meV per atom
# E_tot: -5.33 eV per atom

# PBE Pa2Se2Cl, relaxed
data_Pa2Se2Cl
_chemical_formula_sum 'Pa4 Se4 Cl2'
_symmetry_space_group_name_H-M 'P 1'
_symmetry_Int_Tables_number 1
_cell_length_a 3.811
_cell_length_b 5.619
_cell_length_c 12.174
_cell_angle_alpha 90.00
_cell_angle_beta 90.00
_cell_angle_gamma 90.00
loop_
_symmetry_equiv_pos_as_xyz
'x,y,z'
loop_
_atom_site_label
_atom_site_type_symbol
_atom_site_fract_x
_atom_site_fract_y
_atom_site_fract_z
Pa1 Pa 0.000 0.000 0.173
Pa2 Pa 0.000 0.000 0.827
Pa3 Pa 0.500 0.500 0.327
Pa4 Pa 0.500 0.500 0.673
Se1 Se 0.000 0.500 0.150
Se2 Se 0.000 0.500 0.850
Se3 Se 0.500 0.000 0.350
Se4 Se 0.500 0.000 0.650
Cl1 Cl 0.000 0.500 0.500
Cl2 Cl 0.500 0.000 0.000
# E_tot: -6.80 eV per atom

# PBE PaSeCl, relaxed
data_PaSeCl
_chemical_formula_sum 'Pa1 Se1 Cl1'
_symmetry_space_group_name_H-M 'P 1'
_symmetry_Int_Tables_number 1
_cell_length_a 4.709
_cell_length_b 4.709
_cell_length_c 3.668
_cell_angle_alpha 90.00
_cell_angle_beta 90.00
_cell_angle_gamma 120.00
loop_
_symmetry_equiv_pos_as_xyz
'x,y,z'
loop_
_atom_site_label
_atom_site_type_symbol
_atom_site_fract_x
_atom_site_fract_y
_atom_site_fract_z
Pa1 Pa 0.000 0.000 0.000
Se1 Se 0.667 0.333 0.502
Cl1 Cl 0.333 0.667 0.005
# Energy above the most stable polymorph in this dataset: 212 meV per atom
# E_tot: -6.11 eV per atom

# PBE PaSeCl2, relaxed
data_PaSeCl2
_chemical_formula_sum 'Pa1 Se1 Cl2'
_symmetry_space_group_name_H-M 'P 1'
_symmetry_Int_Tables_number 1
_cell_length_a 4.409
_cell_length_b 3.693
_cell_length_c 8.044
_cell_angle_alpha 90.00
_cell_angle_beta 105.73
_cell_angle_gamma 90.00
loop_
_symmetry_equiv_pos_as_xyz
'x,y,z'
loop_
_atom_site_label
_atom_site_type_symbol
_atom_site_fract_x
_atom_site_fract_y
_atom_site_fract_z
Pa1 Pa 0.000 0.000 0.000
Se1 Se 0.530 0.500 0.060
Cl1 Cl 0.161 0.000 0.325
Cl2 Cl 0.866 0.500 0.728
# Energy above the most stable polymorph in this dataset: 70 meV per atom
# E_tot: -5.74 eV per atom